1.
Entry from Alexandria: a relaxed structure of BaIrPtO6 (PBE).

Geometry as CIF:
```
data_BaIrPtO6
_chemical_formula_sum 'Ba1 Ir1 Pt1 O6'
_cell_length_a 5.3601
_cell_length_b 5.3601
_cell_length_c 5.7420
_cell_angle_alpha 90.00
_cell_angle_beta 90.00
_cell_angle_gamma 120.00
_symmetry_space_group_name_H-M 'P 3 1 2'
_symmetry_Int_Tables_number 149
loop_
_symmetry_equiv_pos_as_xyz
'x,y,z'
'-y,x-y,z'
'-x+y,-x,z'
'-y,-x,-z'
'-x+y,y,-z'
'x,x-y,-z'
loop_
_atom_site_label
_atom_site_fract_x
_atom_site_fract_y
_atom_site_fract_z
Ba1 0.0000 0.0000 0.0000
Ir1 0.6667 0.3333 0.5000
Pt1 0.3333 0.6667 0.5000
O1 0.3807 0.0074 0.6880
```

---

2.
Entry from Alexandria: a relaxed structure of Ba2IrPtO6 (PBE).

Geometry as CIF:
```
data_Ba2IrPtO6
_chemical_formula_sum 'Ba12 Ir6 Pt6 O36'
_cell_length_a 5.8644
_cell_length_b 5.8644
_cell_length_c 30.0334
_cell_angle_alpha 90.00
_cell_angle_beta 90.00
_cell_angle_gamma 120.00
_symmetry_space_group_name_H-M 'R -3 m'
_symmetry_Int_Tables_number 166
_symmetry_space_group_name_Hall '-R 3 2"'
loop_
_atom_site_label
_atom_site_fract_x
_atom_site_fract_y
_atom_site_fract_z
Ba1 0.0000 0.0000 0.1225
Ba2 0.0000 0.0000 0.2846
Ir1 0.0000 0.0000 0.0000
Ir2 0.0000 0.0000 0.5000
Pt1 0.0000 0.0000 0.4065
O1 0.0298 0.5149 0.7096
O2 0.0361 0.5180 0.1199
```

---

3.
Entry from Alexandria: a relaxed structure of BaPuIrO6 (PBE).

Geometry as CIF:
```
data_BaPuIrO6
_chemical_formula_sum 'Ba2 Pu2 Ir2 O12'
_cell_length_a 5.3335
_cell_length_b 5.3335
_cell_length_c 12.1217
_cell_angle_alpha 90.00
_cell_angle_beta 90.00
_cell_angle_gamma 120.00
_symmetry_space_group_name_H-M 'P -3 1 c'
_symmetry_Int_Tables_number 163
_symmetry_space_group_name_Hall '-P 3 2c'
loop_
_atom_site_label
_atom_site_fract_x
_atom_site_fract_y
_atom_site_fract_z
Ba1 0.0000 0.0000 0.0000
Pu1 0.3333 0.6667 0.2500
Ir1 0.3333 0.6667 0.7500
O1 0.0099 0.3690 0.6545
```

---

4.
Entry from Alexandria: a relaxed structure of Ba2PuIr3O12 (PBE).

Geometry as CIF:
```
data_Ba2PuIr3O12
_chemical_formula_sum 'Ba6 Pu3 Ir9 O36'
_cell_length_a 7.1656
_cell_length_b 7.1656
_cell_length_c 18.3291
_cell_angle_alpha 90.00
_cell_angle_beta 90.00
_cell_angle_gamma 120.00
_symmetry_space_group_name_H-M 'R -3 m'
_symmetry_Int_Tables_number 166
_symmetry_space_group_name_Hall '-R 3 2"'
loop_
_atom_site_label
_atom_site_fract_x
_atom_site_fract_y
_atom_site_fract_z
Ba1 0.0000 0.0000 0.1072
Pu1 0.0000 0.0000 0.5000
Ir1 0.0000 0.5000 0.0000
O1 0.0491 0.5246 0.1074
O2 0.0528 0.5264 0.3514
```

---

5.
Entry from Alexandria: a relaxed structure of Rb3Ba3IrO8 (PBE).

Geometry as CIF:
```
data_Rb3Ba3IrO8
_chemical_formula_sum 'Rb9 Ba9 Ir3 O24'
_cell_length_a 7.6329
_cell_length_b 7.6329
_cell_length_c 19.8057
_cell_angle_alpha 90.00
_cell_angle_beta 90.00
_cell_angle_gamma 120.00
_symmetry_space_group_name_H-M 'R -3 m'
_symmetry_Int_Tables_number 166
_symmetry_space_group_name_Hall '-R 3 2"'
loop_
_atom_site_label
_atom_site_fract_x
_atom_site_fract_y
_atom_site_fract_z
Rb1 0.0000 0.5000 0.0000
Ba1 0.0000 0.5000 0.5000
Ir1 0.0000 0.0000 0.5000
O1 0.0000 0.0000 0.2356
O2 0.0870 0.5435 0.2225
```

---

6.
Entry from Alexandria: a relaxed structure of RbBaIrO4 (PBE).

Geometry as CIF:
```
data_RbBaIrO4
_chemical_formula_sum 'Rb2 Ba2 Ir2 O8'
_cell_length_a 6.7015
_cell_length_b 5.8803
_cell_length_c 7.9389
_cell_angle_alpha 90.00
_cell_angle_beta 101.28
_cell_angle_gamma 90.00
_symmetry_space_group_name_H-M 'P 1 21/m 1'
_symmetry_Int_Tables_number 11
loop_
_symmetry_equiv_pos_as_xyz
'x,y,z'
'-x,-y,-z'
'-x,y+1/2,-z'
'x,-y+1/2,z'
loop_
_atom_site_label
_atom_site_fract_x
_atom_site_fract_y
_atom_site_fract_z
Rb1 0.2429 0.2500 0.0345
Ba1 0.2184 0.2500 0.5342
Ir1 0.2502 0.7500 0.2997
O1 0.0291 0.5358 0.2797
O2 0.3754 0.7500 0.5307
O3 0.4374 0.7500 0.1639
```

---

7.
Entry from Alexandria: a relaxed structure of Ba2Ir3RhO12 (PBE).

Geometry as CIF:
```
data_Ba2Ir3RhO12
_chemical_formula_sum 'Ba6 Ir9 Rh3 O36'
_cell_length_a 7.1842
_cell_length_b 7.1842
_cell_length_c 17.1891
_cell_angle_alpha 90.00
_cell_angle_beta 90.00
_cell_angle_gamma 120.00
_symmetry_space_group_name_H-M 'R -3 m'
_symmetry_Int_Tables_number 166
_symmetry_space_group_name_Hall '-R 3 2"'
loop_
_atom_site_label
_atom_site_fract_x
_atom_site_fract_y
_atom_site_fract_z
Ba1 0.0000 0.0000 0.1216
Ir1 0.0000 0.5000 0.0000
Rh1 0.0000 0.0000 0.5000
O1 0.0527 0.5264 0.1103
O2 0.0568 0.5284 0.3554
```

---

8.
Entry from Alexandria: a relaxed structure of BaIrRh2O8 (PBE).

Geometry as CIF:
```
data_BaIrRh2O8
_chemical_formula_sum 'Ba1 Ir1 Rh2 O8'
_cell_length_a 4.6774
_cell_length_b 4.8383
_cell_length_c 6.7895
_cell_angle_alpha 84.43
_cell_angle_beta 83.54
_cell_angle_gamma 86.58
_symmetry_space_group_name_H-M 'P -1'
_symmetry_Int_Tables_number 2
loop_
_symmetry_equiv_pos_as_xyz
'x,y,z'
'-x,-y,-z'
loop_
_atom_site_label
_atom_site_fract_x
_atom_site_fract_y
_atom_site_fract_z
Ba1 0.0000 0.0000 0.0000
Ir1 0.0000 0.0000 0.5000
Rh1 0.4926 0.4997 0.2548
O1 0.2190 0.7985 0.6903
O2 0.2511 0.3302 0.5022
O3 0.2792 0.4095 0.0419
O4 0.2915 0.8594 0.2881
```

---

9.
Entry from Alexandria: a relaxed structure of Ba2Ir3RuO12 (PBE).

Geometry as CIF:
```
data_Ba2Ir3RuO12
_chemical_formula_sum 'Ba6 Ir9 Ru3 O36'
_cell_length_a 7.1204
_cell_length_b 7.1204
_cell_length_c 17.6315
_cell_angle_alpha 90.00
_cell_angle_beta 90.00
_cell_angle_gamma 120.00
_symmetry_space_group_name_H-M 'R -3 m'
_symmetry_Int_Tables_number 166
_symmetry_space_group_name_Hall '-R 3 2"'
loop_
_atom_site_label
_atom_site_fract_x
_atom_site_fract_y
_atom_site_fract_z
Ba1 0.0000 0.0000 0.1249
Ir1 0.0000 0.5000 0.0000
Ru1 0.0000 0.0000 0.5000
O1 0.0598 0.5299 0.3614
O2 0.0670 0.5335 0.1082
```

---

Number 1: uncorrected formation energy -1.149 eV per atom, total DFT energy (no corrections) -6.324 eV per atom, N(E_F) 0.517 states/eV per atom. Number 2: uncorrected formation energy -1.451 eV per atom, total DFT energy (no corrections) -6.301 eV per atom, N(E_F) 0.555 states/eV per atom. Number 3: uncorrected formation energy -2.079 eV per atom, total DFT energy (no corrections) -8.176 eV per atom, N(E_F) 0.298 states/eV per atom. Number 4: uncorrected formation energy -1.618 eV per atom, total DFT energy (no corrections) -7.410 eV per atom, N(E_F) 0.612 states/eV per atom. Number 5: uncorrected formation energy -1.636 eV per atom, total DFT energy (no corrections) -5.449 eV per atom, N(E_F) 0.787 states/eV per atom. Number 6: uncorrected formation energy -1.369 eV per atom, total DFT energy (no corrections) -5.881 eV per atom, N(E_F) 0.098 states/eV per atom. Number 7: uncorrected formation energy -1.202 eV per atom, total DFT energy (no corrections) -6.606 eV per atom, N(E_F) 0.892 states/eV per atom. Number 8: uncorrected formation energy -0.822 eV per atom, total DFT energy (no corrections) -6.251 eV per atom, N(E_F) 0.745 states/eV per atom. Number 9: uncorrected formation energy -1.247 eV per atom, total DFT energy (no corrections) -6.758 eV per atom, N(E_F) 0.820 states/eV per atom.